1.
VASP calculation (PBE) on crystalline CaPa2Pt3 at its relaxed geometry.

- DOS(E_F) (states/eV/f.u.) = 5.92
- energy relative to the elements (eV per atom) = -0.873

Unit cell a=4.660 b=7.368 c=15.441 alpha=90.00 beta=90.00 gamma=90.00
Space group Imma (No. 74)
Asymmetric unit:
Ca (0.000, 0.250, 0.176)
Pa (0.000, 0.250, 0.491)
Pa (0.000, 0.250, 0.812)
Pt (0.000, 0.000, 0.000)
Pt (0.000, 0.030, 0.641)

=====

2.
VASP calculation (PBE) on crystalline Ho8Te3P3S at its relaxed geometry.

- DOS(E_F) (states/eV/f.u.) = 5.56
- uncorrected formation energy (meV/atom) = -1444

Unit cell a=8.0788 b=8.0788 c=20.8390 alpha=90.00 beta=90.00 gamma=120.00
Space group R-3m (No. 166, hexagonal axes)
Asymmetric unit:
Ho (0.0000, 0.0000, 0.2356)
Ho (0.0058, 0.5029, 0.7621)
Te (0.0000, 0.5000, 0.0000)
P (0.0000, 0.5000, 0.5000)
S (0.0000, 0.0000, 0.5000)

=====

3.
VASP calculation (PBE) on crystalline BiH2Pd4 at its relaxed geometry.

- DOS(E_F) (states/eV/f.u.) = 2.33
- ΔE to the lowest computed polymorph (kJ per mole of atoms) = 4.3

Unit cell a=4.337 b=9.736 c=9.488 alpha=90.00 beta=90.00 gamma=90.00
Space group Cccm (No. 66)
Asymmetric unit:
Bi (0.000, 0.000, 0.250)
H (0.000, 0.250, 0.000)
Pd (0.239, 0.404, 0.000)
Pd (0.250, 0.250, 0.344)

=====

4.
VASP calculation (PBE) on crystalline CaPa2Pb9 at its relaxed geometry.

- DOS(E_F) (states/eV/f.u.) = 12.79
- energy relative to the elements (eV per atom) = -0.100

Unit cell a=4.837 b=4.837 c=14.698 alpha=90.00 beta=90.00 gamma=90.00
Space group P4/mmm (No. 123)
Asymmetric unit:
Ca (0.000, 0.000, 0.000)
Pa (0.000, 0.000, 0.341)
Pb (0.000, 0.500, 0.171)
Pb (0.000, 0.500, 0.500)
Pb (0.500, 0.500, 0.000)
Pb (0.500, 0.500, 0.335)

=====

5.
VASP calculation (PBE) on crystalline Pu4Sb8Rh3 at its relaxed geometry.

- DOS(E_F) (states/eV/f.u.) = 45.79
- uncorrected formation energy (meV/atom) = -559

Unit cell a=4.375 b=4.375 c=19.135 alpha=90.00 beta=90.00 gamma=90.00
Space group P-4m2 (No. 115)
Asymmetric unit:
Pu (0.000, 0.500, 0.116)
Pu (0.000, 0.500, 0.627)
Sb (0.000, 0.000, 0.244)
Sb (0.000, 0.500, 0.418)
Sb (0.000, 0.500, 0.926)
Sb (0.500, 0.500, 0.245)
Rh (0.000, 0.000, 0.000)
Rh (0.000, 0.000, 0.500)
Rh (0.500, 0.500, 0.500)

=====

6.
VASP calculation (PBE) on crystalline LiYSbRh at its relaxed geometry.

- uncorrected formation energy (meV/atom) = -842

Unit cell a=6.657 b=6.657 c=6.657 alpha=90.00 beta=90.00 gamma=90.00
Space group F-43m (No. 216)
Asymmetric unit:
Li (0.000, 0.000, 0.000)
Y (0.250, 0.250, 0.250)
Sb (0.250, 0.250, 0.750)
Rh (0.000, 0.000, 0.500)

=====

7.
VASP calculation (PBE) on crystalline Cs2TmPu2S6 at its relaxed geometry.

- DOS(E_F) (states/eV/f.u.) = 16.72
- uncorrected formation energy (meV/atom) = -1662

Unit cell a=6.993 b=12.112 c=8.534 alpha=90.00 beta=105.63 gamma=90.00
Space group C2/m (No. 12)
Asymmetric unit:
Cs (0.000, 0.166, 0.000)
Tm (0.000, 0.000, 0.500)
Pu (0.000, 0.334, 0.500)
S (0.223, 0.167, 0.674)
S (0.226, 0.500, 0.674)

=====

8.
VASP calculation (PBE) on crystalline CdTcRh at its relaxed geometry.

- DOS(E_F) (states/eV/f.u.) = 2.65
- energy relative to the elements (eV per atom) = 0.267
- ΔE to the lowest computed polymorph (kJ per mole of atoms) = 30.7

Unit cell a=4.5216 b=4.5216 c=2.7492 alpha=90.00 beta=90.00 gamma=120.00
Space group P-6m2 (No. 187)
Asymmetric unit:
Cd (0.0000, 0.0000, 0.0000)
Tc (0.3333, 0.6667, 0.5000)
Rh (0.6667, 0.3333, 0.5000)

=====

9.
VASP calculation (PBE) on crystalline Rb2AgHgRu at its relaxed geometry.

- DOS(E_F) (states/eV/f.u.) = 3.85
- energy relative to the elements (eV per atom) = 0.784

Unit cell a=6.376 b=6.376 c=5.178 alpha=90.00 beta=90.00 gamma=90.00
Space group P4/mmm (No. 123)
Asymmetric unit:
Rb (0.000, 0.500, 0.000)
Ag (0.000, 0.000, 0.500)
Hg (0.500, 0.500, 0.500)
Ru (0.000, 0.000, 0.000)

=====

10.
VASP calculation (PBE) on crystalline La3Tb2Hg3 at its relaxed geometry.

- DOS(E_F) (states/eV/f.u.) = 9.95
- energy relative to the elements (eV per atom) = -0.371

Unit cell a=3.823 b=5.576 c=22.797 alpha=90.00 beta=90.00 gamma=90.00
Space group Immm (No. 71)
Asymmetric unit:
La (0.000, 0.000, 0.000)
La (0.000, 0.500, 0.122)
Tb (0.000, 0.000, 0.234)
Hg (0.000, 0.000, 0.500)
Hg (0.000, 0.500, 0.375)

=====

11.
VASP calculation (PBE) on crystalline PmB3C3 at its relaxed geometry.

- DOS(E_F) (states/eV/f.u.) = 1.72
- energy relative to the elements (eV per atom) = 0.163

Unit cell a=4.9673 b=4.9673 c=18.1681 alpha=90.00 beta=90.00 gamma=120.00
Space group R-3 (No. 148, hexagonal axes)
Asymmetric unit:
Pm (0.0000, 0.0000, 0.1680)
B (0.0013, 0.3282, 0.6222)
C (0.0008, 0.6698, 0.6085)

=====

12.
VASP calculation (PBE) on crystalline La5PmSn2 at its relaxed geometry.

- DOS(E_F) (states/eV/f.u.) = 10.70
- energy relative to the elements (eV per atom) = -0.372
- ΔE to the lowest computed polymorph (kJ per mole of atoms) = 10.7

Unit cell a=4.385 b=12.356 c=19.947 alpha=90.00 beta=90.00 gamma=90.00
Space group Cmcm (No. 63)
Asymmetric unit:
La (0.000, 0.037, 0.115)
La (0.000, 0.359, 0.023)
La (0.000, 0.415, 0.750)
Pm (0.000, 0.310, 0.250)
Sn (0.000, 0.245, 0.631)

=====

Number 1: total energy -7.39 eV/atom. Number 2: total energy -5.87 eV/atom. Number 3: total energy -4.58 eV/atom. Number 4: total energy -4.63 eV/atom. Number 5: total energy -8.05 eV/atom. Number 6: total energy -5.81 eV/atom. Number 7: total energy -7.08 eV/atom. Number 8: total energy -5.94 eV/atom. Number 9: total energy -2.09 eV/atom. Number 10: total energy -3.49 eV/atom. Number 11: total energy -7.33 eV/atom. Number 12: total energy -5.05 eV/atom.